# 1
Here is a relaxed Ag3Sn5Pb crystal from Alexandria via LeMat-Bulk. Energies are from PBE-GGA.

Lattice parameters (Å, degrees): 7.471 7.471 9.930 76.11 76.11 68.99
Fractional positions:
Ag1 0.000 0.000 0.000
Sn1 0.631 0.065 0.689
Sn2 0.374 0.374 0.485
Ag2 0.335 0.335 0.219
Sn3 0.369 0.935 0.311
Ag3 0.665 0.665 0.781
Ag4 0.437 0.437 0.774
Sn4 0.682 0.318 0.000
Sn5 0.318 0.682 0.000
Ag5 0.563 0.563 0.226
Ag6 0.000 0.000 0.500
Pb1 0.131 0.131 0.698
Sn6 0.065 0.631 0.689
Sn7 0.234 0.234 0.997
Sn8 0.626 0.626 0.515
Sn9 0.935 0.369 0.311
Sn10 0.766 0.766 0.003
Pb2 0.869 0.869 0.302

## Properties
- SG: No. 12
- DFT formation energy: 15.1 kJ/mol of atoms

# 2
Here is a relaxed DyPa2Sb3 crystal from Alexandria via LeMat-Bulk. Energies are from PBE-GGA.

Lattice parameters (Å, degrees): 7.565 7.565 7.601 99.55 99.55 120.03
Each line ends with the local moment (μB).
Fractional positions:
Pa1 0.500 0.500 0.500  0.75
Sb1 0.585 0.918 0.752  -0.02
Sb2 0.916 0.584 0.751  -0.01
Sb3 0.750 0.750 0.249  -0.01
Sb4 0.250 0.250 0.751  -0.01
Dy1 0.000 0.000 0.000  -0.02
Sb5 0.082 0.415 0.248  -0.02
Pa2 0.833 0.167 0.500  0.77
Sb6 0.416 0.084 0.249  -0.01
Pa3 0.333 0.667 0.000  0.77
Dy2 0.666 0.334 0.000  -0.02
Pa4 0.167 0.833 0.500  0.75

## Properties
- SG: No. 12
- Formation energy from raw total energies: -0.65 eV per atom

# 3
Here is a relaxed Ba3GeAu crystal from Alexandria via LeMat-Bulk. Energies are from PBE-GGA.

Lattice parameters (Å, degrees): 6.369 6.369 6.369 90.00 90.00 90.00
Fractional positions:
Ba1 0.500 0.000 0.000
Ge1 0.000 0.000 0.000
Ba2 0.000 0.000 0.500
Ba3 0.000 0.500 0.000
Au1 0.500 0.500 0.500

## Properties
- SG: No. 221
- DFT formation energy: -15.1 kJ/mol of atoms

# 4
Here is a relaxed YLuSe3 crystal from Alexandria via LeMat-Bulk. Energies are from PBE-GGA.

Lattice parameters (Å, degrees): 5.640 5.640 5.640 85.76 85.76 85.76
Fractional positions:
Se1 0.301 0.823 0.823
Se2 0.823 0.823 0.301
Se3 0.823 0.301 0.823
Lu1 0.134 0.134 0.134
Y1 0.794 0.794 0.794

## Properties
- SG: No. 160
- Formation energy from raw total energies: -1.41 eV per atom
- Energy above the lowest structure with this stoichiometry: 469 meV per atom

# 5
Here is a relaxed Gd3TmRu crystal from Alexandria via LeMat-Bulk. Energies are from PBE-GGA.

Lattice parameters (Å, degrees): 5.407 5.407 5.407 90.00 90.00 90.00
Each line ends with the local moment (μB).
Fractional positions:
Tm1 0.500 0.500 0.500  0.22
Gd1 0.500 0.000 0.000  7.09
Gd2 0.000 0.500 0.000  7.09
Ru1 0.000 0.000 0.000  -0.08
Gd3 0.000 0.000 0.500  7.09

## Properties
- SG: No. 221
- DFT formation energy: -3.2 kJ/mol of atoms

# 6
Here is a relaxed Pr2GdPa crystal from Alexandria via LeMat-Bulk. Energies are from PBE-GGA.

Lattice parameters (Å, degrees): 3.466 3.466 10.601 90.00 90.00 90.00
Each line ends with the local moment (μB).
Fractional positions:
Pa1 0.500 0.500 0.000  0.03
Gd1 0.500 0.500 0.500  7.28
Pr1 0.000 0.000 0.230  -0.01
Pr2 0.000 0.000 0.770  -0.01

## Properties
- SG: No. 123
- DFT formation energy: 16.6 kJ/mol of atoms

In order of appearance, DOS(E_F) = 7.0, 20.8, 5.5, 0.0, 6.5, 6.2 states/eV per cell.
In order of appearance, total moment = 0.0, 1.8, 0.0, 0.0, 22.3, 7.7 μB per formula unit.